1.
NaTe2IrI PBE optimized geometry; energy = -2.208 eV/atom; D(E_F) = 1.8222 states/eV/atom; size of the total moment = 2.19 Bohr magnetons per cell; ΔE to the lowest computed polymorph = 1351 meV per atom
1.0
5.425 0.000 0.000
0.000 5.425 0.000
0.000 0.000 5.475
Na Te Ir I
1 2 1 1
Direct
0.000 0.000 0.000 Na
0.000 0.500 0.000 Te
0.500 0.000 0.000 Te
0.500 0.500 0.500 Ir
0.000 0.000 0.500 I

=====

2.
Pr5PuN4 PBE optimized geometry; energy = -8.144 eV/atom; D(E_F) = 1.1327 states/eV/atom; size of the total moment = 5.02 Bohr magnetons per cell
1.0
8.021 -1.807 0.000
8.021 1.807 0.000
-1.599 0.000 7.269
Pr Pu N
5 1 4
Direct
0.000 0.000 0.000 Pr
0.336 0.336 0.652 Pr
0.344 0.344 0.194 Pr
0.656 0.656 0.806 Pr
0.664 0.664 0.348 Pr
0.000 0.000 0.500 Pu
0.161 0.161 0.578 N
0.500 0.500 0.275 N
0.500 0.500 0.725 N
0.839 0.839 0.422 N

=====

3.
Li2Ag2Pb PBE optimized geometry; E_form = -0.135 eV/atom; energy = -2.783 eV/atom; D(E_F) = 0.1382 states/eV/atom; size of the total moment = 0.00 Bohr magnetons per cell; ΔE to the lowest computed polymorph = 47 meV per atom
1.0
7.549 0.000 0.000
0.000 7.549 0.000
0.000 0.000 3.276
Li Ag Pb
4 4 2
Direct
0.141 0.359 0.000 Li
0.359 0.859 0.000 Li
0.641 0.141 0.000 Li
0.859 0.641 0.000 Li
0.146 0.646 0.500 Ag
0.354 0.146 0.500 Ag
0.646 0.854 0.500 Ag
0.854 0.354 0.500 Ag
0.000 0.000 0.000 Pb
0.500 0.500 0.000 Pb

=====

4.
Li3ClO PBE optimized geometry; energy = -4.280 eV/atom; D(E_F) = 0.0000 states/eV/atom; size of the total moment = 0.00 Bohr magnetons per cell; ΔE to the lowest computed polymorph = 52 meV per atom
1.0
3.383 0.000 0.000
0.000 4.936 0.000
-0.017 0.000 7.677
Li Cl O
6 2 2
Direct
0.248 0.000 0.164 Li
0.250 0.382 0.586 Li
0.251 0.852 0.619 Li
0.749 0.352 0.381 Li
0.750 0.882 0.414 Li
0.752 0.500 0.836 Li
0.252 0.159 0.864 Cl
0.748 0.659 0.136 Cl
0.250 0.109 0.406 O
0.750 0.609 0.594 O

=====

5.
Pd5Pt2Au5 PBE optimized geometry; E_form = -0.036 eV/atom; energy = -4.572 eV/atom; D(E_F) = 1.2395 states/eV/atom; size of the total moment = 0.00 Bohr magnetons per cell
1.0
6.064 -1.998 0.000
6.064 1.998 0.000
-4.064 0.000 8.154
Pd Pt Au
5 2 5
Direct
0.000 0.000 0.000 Pd
0.084 0.084 0.753 Pd
0.167 0.167 0.499 Pd
0.833 0.833 0.501 Pd
0.916 0.916 0.247 Pd
0.331 0.331 0.001 Pt
0.669 0.669 0.999 Pt
0.250 0.250 0.251 Au
0.418 0.418 0.752 Au
0.500 0.500 0.500 Au
0.582 0.582 0.248 Au
0.750 0.750 0.749 Au

=====

6.
SmHoAu4 PBE optimized geometry; E_form = -0.836 eV/atom; energy = -4.571 eV/atom; D(E_F) = 0.2368 states/eV/atom; size of the total moment = 0.00 Bohr magnetons per cell
1.0
3.778 0.000 0.000
0.000 3.778 0.000
0.000 0.000 9.136
Sm Ho Au
1 1 4
Direct
0.000 0.000 0.000 Sm
0.500 0.500 0.500 Ho
0.000 0.000 0.339 Au
0.000 0.000 0.661 Au
0.500 0.500 0.170 Au
0.500 0.500 0.830 Au

=====

7.
Cs2CuPbO4 PBE optimized geometry; energy = -4.551 eV/atom; size of the total moment = 1.97 Bohr magnetons per cell
1.0
0.000 6.698 11.220
2.931 0.000 11.220
2.931 6.698 0.000
Cs Cu Pb O
4 2 2 8
Direct
0.058 0.058 0.692 Cs
0.308 0.308 0.942 Cs
0.692 0.692 0.058 Cs
0.942 0.942 0.308 Cs
0.375 0.375 0.375 Cu
0.625 0.625 0.625 Cu
0.125 0.125 0.125 Pb
0.875 0.875 0.875 Pb
0.018 0.676 0.541 O
0.265 0.541 0.676 O
0.324 0.982 0.735 O
0.459 0.735 0.982 O
0.541 0.265 0.018 O
0.676 0.018 0.265 O
0.735 0.459 0.324 O
0.982 0.324 0.459 O

=====

8.
BaY2Cl PBE optimized geometry; energy = -4.160 eV/atom; D(E_F) = 1.3019 states/eV/atom; size of the total moment = 2.31 Bohr magnetons per cell; ΔE to the lowest computed polymorph = 612 meV per atom
1.0
-2.565 2.565 5.360
2.565 -2.565 5.360
2.565 2.565 -5.360
Ba Y Cl
1 2 1
Direct
0.000 0.000 0.000 Ba
0.500 0.500 0.000 Y
0.750 0.250 0.500 Y
0.250 0.750 0.500 Cl